First-principles (GGA-PBEsol) data for a relaxed CsGa3I crystal, as listed in Alexandria via LeMat-Bulk.

Computed properties:
N(E_F)	0.62	states/eV/atom
ρ	3.704	Mg/m³
formation energy from raw total energies	0.3812	eV per atom

Cell: 5.9464 5.9464 5.9464 Å, 90.00 90.00 90.00°
Last column: nearest neighbours and their distance in Å.
Atoms (fractional coordinates):
Cs (0.0000, 0.0000, 0.0000)  12 Ga 4.20
Ga (0.0000, 0.5000, 0.5000)  2 I 2.97
Ga (0.5000, 0.0000, 0.5000)  2 I 2.97
Ga (0.5000, 0.5000, 0.0000)  2 I 2.97
I (0.5000, 0.5000, 0.5000)  6 Ga 2.97


First-principles (GGA-PBEsol) data for a relaxed Lu2PbSe4 crystal, as listed in Alexandria via LeMat-Bulk.

Computed properties:
N(E_F)	0.00	states/eV/atom
ρ	8.064	Mg/m³
formation energy from raw total energies	-1.4627	eV per atom

Cell: 12.4465 3.9916 14.4728 Å, 90.00 90.00 90.00°
Last column: nearest neighbours and their distance in Å.
Atoms (fractional coordinates):
Lu (0.0563, 0.2500, 0.1142)  6 Se 2.74-2.80
Lu (0.0880, 0.2500, 0.5915)  6 Se 2.75-2.82
Lu (0.4120, 0.7500, 0.0915)  6 Se 2.75-2.82
Lu (0.4437, 0.7500, 0.6142)  6 Se 2.74-2.80
Lu (0.5563, 0.2500, 0.3858)  6 Se 2.74-2.80
Lu (0.5880, 0.2500, 0.9085)  6 Se 2.75-2.82
Lu (0.9120, 0.7500, 0.4085)  6 Se 2.75-2.82
Lu (0.9437, 0.7500, 0.8858)  6 Se 2.74-2.80
Pb (0.2484, 0.7500, 0.8263)  7 Se 3.05-3.21
Pb (0.2516, 0.2500, 0.3263)  7 Se 3.05-3.21
Pb (0.7484, 0.7500, 0.6737)  7 Se 3.05-3.21
Pb (0.7516, 0.2500, 0.1737)  7 Se 3.05-3.21
Se (0.0396, 0.7500, 0.7154)  3 Lu 2.74-2.75, 1 Pb 3.05
Se (0.0930, 0.2500, 0.9269)  3 Lu 2.75-2.79
Se (0.1258, 0.7500, 0.4626)  3 Lu 2.77
Se (0.2021, 0.7500, 0.1648)  3 Lu 2.80-2.82
Se (0.2979, 0.2500, 0.6648)  3 Lu 2.80-2.82
Se (0.3742, 0.2500, 0.9626)  3 Lu 2.77
Se (0.4070, 0.7500, 0.4269)  3 Lu 2.75-2.79
Se (0.4604, 0.2500, 0.2154)  3 Lu 2.74-2.75, 1 Pb 3.05
Se (0.5396, 0.7500, 0.7846)  3 Lu 2.74-2.75, 1 Pb 3.05
Se (0.5930, 0.2500, 0.5731)  3 Lu 2.75-2.79
Se (0.6258, 0.7500, 0.0374)  3 Lu 2.77
Se (0.7021, 0.7500, 0.3352)  3 Lu 2.80-2.82
Se (0.7979, 0.2500, 0.8352)  3 Lu 2.80-2.82
Se (0.8742, 0.2500, 0.5374)  3 Lu 2.77
Se (0.9070, 0.7500, 0.0731)  3 Lu 2.75-2.79
Se (0.9604, 0.2500, 0.2846)  3 Lu 2.74-2.75, 1 Pb 3.05


First-principles (GGA-PBEsol) data for a relaxed GaHgRu2S crystal, as listed in Alexandria via LeMat-Bulk.

Computed properties:
N(E_F)	1.08	states/eV/atom
ρ	8.399	Mg/m³
formation energy from raw total energies	1.4683	eV per atom

Cell: 4.5841 4.5841 4.7469 Å, 90.00 90.00 90.00°
Last column: nearest neighbours and their distance in Å.
Atoms (fractional coordinates):
Ga (0.0000, 0.0000, 0.0000)  4 Ru 2.29, 2 Hg 2.37
Hg (0.0000, 0.0000, 0.5000)  2 Ga 2.37
Ru (0.0000, 0.5000, 0.0000)  2 Ga 2.29
Ru (0.5000, 0.0000, 0.0000)  2 Ga 2.29
S (0.5000, 0.5000, 0.5000)  4 Hg 3.24, 8 Ru 3.30


First-principles (GGA-PBEsol) data for a relaxed Ta3VS6 crystal, as listed in Alexandria via LeMat-Bulk.

Computed properties:
N(E_F)	0.05	states/eV/atom
ρ	7.711	Mg/m³
formation energy from raw total energies	-1.2285	eV per atom

Cell: 5.6953 5.6953 12.0531 Å, 90.00 90.00 120.00°
Last column: nearest neighbours and their distance in Å.
Atoms (fractional coordinates):
Ta (0.0000, 0.0000, 0.0000)  6 S 2.46
Ta (0.0000, 0.0000, 0.5000)  6 S 2.46
Ta (0.3333, 0.6667, 0.0019)  6 S 2.45-2.48
Ta (0.3333, 0.6667, 0.4981)  6 S 2.45-2.48
Ta (0.6667, 0.3333, 0.5019)  6 S 2.45-2.48
Ta (0.6667, 0.3333, 0.9981)  6 S 2.45-2.48
V (0.3333, 0.6667, 0.7500)  6 S 2.38
V (0.6667, 0.3333, 0.2500)  6 S 2.38
S (0.0008, 0.3325, 0.6303)  1 V 2.38, 3 Ta 2.45-2.48
S (0.0008, 0.6683, 0.8697)  1 V 2.38, 3 Ta 2.45-2.48
S (0.3317, 0.3325, 0.8697)  1 V 2.38, 3 Ta 2.45-2.48
S (0.3317, 0.9992, 0.6303)  1 V 2.38, 3 Ta 2.45-2.48
S (0.3325, 0.0008, 0.3697)  1 V 2.38, 3 Ta 2.45-2.48
S (0.3325, 0.3317, 0.1303)  1 V 2.38, 3 Ta 2.45-2.48
S (0.6675, 0.6683, 0.6303)  1 V 2.38, 3 Ta 2.45-2.48
S (0.6675, 0.9992, 0.8697)  1 V 2.38, 3 Ta 2.45-2.48
S (0.6683, 0.0008, 0.1303)  1 V 2.38, 3 Ta 2.45-2.48
S (0.6683, 0.6675, 0.3697)  1 V 2.38, 3 Ta 2.45-2.48
S (0.9992, 0.3317, 0.3697)  1 V 2.38, 3 Ta 2.45-2.48
S (0.9992, 0.6675, 0.1303)  1 V 2.38, 3 Ta 2.45-2.48


First-principles (GGA-PBEsol) data for a relaxed NdCd3 crystal, as listed in Alexandria via LeMat-Bulk.

Computed properties:
N(E_F)	0.33	states/eV/atom
ρ	8.730	Mg/m³
calculated formation energy	-0.34	eV/atom

Cell: 7.1553 7.1553 7.1553 Å, 90.00 90.00 90.00°
Last column: nearest neighbours and their distance in Å.
Atoms (fractional coordinates):
Nd (0.0000, 0.0000, 0.0000)  8 Cd 3.10
Nd (0.0000, 0.5000, 0.5000)  8 Cd 3.10
Nd (0.5000, 0.0000, 0.5000)  8 Cd 3.10
Nd (0.5000, 0.5000, 0.0000)  8 Cd 3.10
Cd (0.0000, 0.0000, 0.5000)  8 Cd 3.10
Cd (0.0000, 0.5000, 0.0000)  8 Cd 3.10
Cd (0.2500, 0.2500, 0.2500)  4 Nd 3.10, 4 Cd 3.10
Cd (0.2500, 0.2500, 0.7500)  4 Cd 3.10, 4 Nd 3.10
Cd (0.2500, 0.7500, 0.2500)  4 Cd 3.10, 4 Nd 3.10
Cd (0.2500, 0.7500, 0.7500)  4 Nd 3.10, 4 Cd 3.10
Cd (0.5000, 0.0000, 0.0000)  8 Cd 3.10
Cd (0.5000, 0.5000, 0.5000)  8 Cd 3.10
Cd (0.7500, 0.2500, 0.2500)  4 Cd 3.10, 4 Nd 3.10
Cd (0.7500, 0.2500, 0.7500)  4 Nd 3.10, 4 Cd 3.10
Cd (0.7500, 0.7500, 0.2500)  4 Nd 3.10, 4 Cd 3.10
Cd (0.7500, 0.7500, 0.7500)  4 Cd 3.10, 4 Nd 3.10


First-principles (GGA-PBEsol) data for a relaxed InGa2Ag2 crystal, as listed in Alexandria via LeMat-Bulk.

Computed properties:
N(E_F)	0.37	states/eV/atom
ρ	8.398	Mg/m³
calculated formation energy	0.02	eV/atom

Cell: 7.9853 7.9853 2.9149 Å, 90.00 90.00 90.00°
Last column: nearest neighbours and their distance in Å.
Atoms (fractional coordinates):
In (0.0000, 0.0000, 0.0000)  2 In 2.91, 4 Ag 3.15
In (0.5000, 0.5000, 0.0000)  2 In 2.91, 4 Ag 3.15
Ga (0.1721, 0.3279, 0.5000)  6 Ag 2.70-2.82, 2 Ga 2.91
Ga (0.3279, 0.8279, 0.5000)  6 Ag 2.70-2.82, 2 Ga 2.91
Ga (0.6721, 0.1721, 0.5000)  6 Ag 2.70-2.82, 2 Ga 2.91
Ga (0.8279, 0.6721, 0.5000)  6 Ag 2.70-2.82, 2 Ga 2.91
Ag (0.1266, 0.6266, 0.0000)  6 Ga 2.70-2.82, 3 Ag 2.86-2.91
Ag (0.3734, 0.1266, 0.0000)  6 Ga 2.70-2.82, 3 Ag 2.86-2.91
Ag (0.6266, 0.8734, 0.0000)  6 Ga 2.70-2.82, 3 Ag 2.86-2.91
Ag (0.8734, 0.3734, 0.0000)  6 Ga 2.70-2.82, 3 Ag 2.86-2.91


First-principles (GGA-PBEsol) data for a relaxed NaNb3O8 crystal, as listed in Alexandria via LeMat-Bulk.

Computed properties:
N(E_F)	0.00	states/eV/atom
ρ	4.108	Mg/m³
formation energy from raw total energies	-2.4699	eV per atom

Cell: 3.8089 8.8312 10.3277 Å, 90.00 90.00 90.00°
Last column: nearest neighbours and their distance in Å.
Atoms (fractional coordinates):
Na (0.2500, 0.2500, 0.0686)  5 O 2.32-2.49
Na (0.7500, 0.7500, 0.9314)  5 O 2.32-2.49
Nb (0.2500, 0.0561, 0.7490)  2 O 1.78-1.97
Nb (0.2500, 0.4439, 0.7490)  2 O 1.78-1.97
Nb (0.2500, 0.7500, 0.4798)  4 O 1.83-2.00
Nb (0.7500, 0.2500, 0.5202)  4 O 1.83-2.00
Nb (0.7500, 0.5561, 0.2510)  2 O 1.78-1.97
Nb (0.7500, 0.9439, 0.2510)  2 O 1.78-1.97
O (0.2500, 0.2500, 0.5779)  2 Nb 2.00
O (0.2500, 0.2500, 0.8442)  2 Nb 1.97
O (0.2500, 0.5794, 0.8760)  1 Nb 1.78
O (0.2500, 0.5900, 0.3042)  2 Nb 2.00
O (0.2500, 0.5911, 0.5936)  1 Nb 1.83
O (0.2500, 0.9089, 0.5936)  1 Nb 1.83
O (0.2500, 0.9100, 0.3042)  2 Nb 2.00
O (0.2500, 0.9206, 0.8760)  1 Nb 1.78
O (0.7500, 0.0794, 0.1240)  1 Nb 1.78
O (0.7500, 0.0900, 0.6958)  2 Nb 2.00
O (0.7500, 0.0911, 0.4064)  1 Nb 1.83
O (0.7500, 0.4089, 0.4064)  1 Nb 1.83
O (0.7500, 0.4100, 0.6958)  2 Nb 2.00
O (0.7500, 0.4206, 0.1240)  1 Nb 1.78
O (0.7500, 0.7500, 0.1558)  2 Nb 1.97
O (0.7500, 0.7500, 0.4221)  2 Nb 2.00


First-principles (GGA-PBEsol) data for a relaxed Sr2GeClO crystal, as listed in Alexandria via LeMat-Bulk.

Computed properties:
N(E_F)	0.60	states/eV/atom
ρ	3.542	Mg/m³
formation energy from raw total energies	-0.8681	eV per atom

Cell: 5.8225 5.8225 4.1394 Å, 90.00 90.00 90.00°
Last column: nearest neighbours and their distance in Å.
Atoms (fractional coordinates):
Sr (0.0000, 0.5000, 0.0000)  2 Ge 2.91
Sr (0.5000, 0.0000, 0.0000)  2 Ge 2.91
Ge (0.0000, 0.0000, 0.0000)  2 O 2.07
Cl (0.5000, 0.5000, 0.5000)  8 Sr 3.57
O (0.0000, 0.0000, 0.5000)  2 Ge 2.07


First-principles (GGA-PBEsol) data for a relaxed Y2MnAs crystal, as listed in Alexandria via LeMat-Bulk.

Computed properties:
N(E_F)	1.40	states/eV/atom
ρ	6.084	Mg/m³
calculated formation energy	-0.38	eV/atom

Cell: 4.8038 4.8038 3.6393 Å, 90.00 90.00 90.00°
Last column: nearest neighbours and their distance in Å.
Atoms (fractional coordinates):
Y (0.0000, 0.5000, 0.0000)  4 As 3.01, 4 Mn 3.01
Y (0.5000, 0.0000, 0.0000)  4 As 3.01, 4 Mn 3.01
Mn (0.0000, 0.0000, 0.5000)  8 Y 3.01
As (0.5000, 0.5000, 0.5000)  8 Y 3.01


First-principles (GGA-PBEsol) data for a relaxed TeRu2Br crystal, as listed in Alexandria via LeMat-Bulk.

Computed properties:
N(E_F)	1.39	states/eV/atom
ρ	10.010	Mg/m³
formation energy from raw total energies	0.8784	eV per atom

Cell: 3.7933 3.7933 9.4451 Å, 90.00 90.00 90.00°
Last column: nearest neighbours and their distance in Å.
Atoms (fractional coordinates):
Te (0.0000, 0.0000, 0.0000)  4 Ru 2.68
Te (0.5000, 0.5000, 0.5000)  4 Ru 2.68
Ru (0.0000, 0.0000, 0.5000)  4 Te 2.68
Ru (0.0000, 0.5000, 0.7500)  4 Br 2.68
Ru (0.5000, 0.0000, 0.2500)  4 Br 2.68
Ru (0.5000, 0.5000, 0.0000)  4 Te 2.68
Br (0.0000, 0.5000, 0.2500)  4 Ru 2.68
Br (0.5000, 0.0000, 0.7500)  4 Ru 2.68


- Among the records above, which one has the lowest ρ?
  Sr2GeClO


- What is the N(E_F) in the first record?
  0.62 states/eV/atom


What did the fifth record say?
First-principles (GGA-PBEsol) data for a relaxed NdCd3 crystal, as listed in Alexandria via LeMat-Bulk.

Computed properties:
N(E_F)	0.33	states/eV/atom
ρ	8.730	Mg/m³
calculated formation energy	-0.34	eV/atom

Cell: 7.1553 7.1553 7.1553 Å, 90.00 90.00 90.00°
Last column: nearest neighbours and their distance in Å.
Atoms (fractional coordinates):
Nd (0.0000, 0.0000, 0.0000)  8 Cd 3.10
Nd (0.0000, 0.5000, 0.5000)  8 Cd 3.10
Nd (0.5000, 0.0000, 0.5000)  8 Cd 3.10
Nd (0.5000, 0.5000, 0.0000)  8 Cd 3.10
Cd (0.0000, 0.0000, 0.5000)  8 Cd 3.10
Cd (0.0000, 0.5000, 0.0000)  8 Cd 3.10
Cd (0.2500, 0.2500, 0.2500)  4 Nd 3.10, 4 Cd 3.10
Cd (0.2500, 0.2500, 0.7500)  4 Cd 3.10, 4 Nd 3.10
Cd (0.2500, 0.7500, 0.2500)  4 Cd 3.10, 4 Nd 3.10
Cd (0.2500, 0.7500, 0.7500)  4 Nd 3.10, 4 Cd 3.10
Cd (0.5000, 0.0000, 0.0000)  8 Cd 3.10
Cd (0.5000, 0.5000, 0.5000)  8 Cd 3.10
Cd (0.7500, 0.2500, 0.2500)  4 Cd 3.10, 4 Nd 3.10
Cd (0.7500, 0.2500, 0.7500)  4 Nd 3.10, 4 Cd 3.10
Cd (0.7500, 0.7500, 0.2500)  4 Nd 3.10, 4 Cd 3.10
Cd (0.7500, 0.7500, 0.7500)  4 Cd 3.10, 4 Nd 3.10


- Look up the ρ of the ninth one.
  6.084 Mg/m³